Below is a geometry-optimized Sm3Dy2Tm7 structure, with properties calculated at the GGA-PBE level.

Values from the calculation:
DFT total energy in eV for the cell shown: -53.572

Cell and atoms, written as POSCAR:
```
Sm3Dy2Tm7
1.0
3.535 0.000 0.000
0.000 5.750 0.252
0.000 -1.843 18.512
Sm Tm Dy
3 7 2
Direct
0.500 0.500 0.000
0.000 0.776 0.633
0.000 0.224 0.367
0.500 0.743 0.462
0.500 0.806 0.825
0.500 0.194 0.175
0.000 0.309 0.857
0.500 0.257 0.538
0.000 0.691 0.143
0.000 0.000 0.000
0.500 0.289 0.708
0.500 0.711 0.292
```